No. 1
Compound: IBr
Source: Alexandria via LeMat-Bulk
Functional: PBE
Structure: optimized geometry

spin magnetization: 0.926 μB per atom
ρ: 3.2 g cm⁻³
calculated total energy: -1.03 eV/atom
space group: F-43m
energy relative to the elements, uncorrected: 0.581 eV per atom

Cell lengths 7.5786, 7.5786, 7.5786 Å; angles 90.00, 90.00, 90.00 degrees
Atoms (fractional coordinates):
I 0.0000 0.0000 0.0000
I 0.0000 0.5000 0.5000
I 0.5000 0.0000 0.5000
I 0.5000 0.5000 0.0000
Br 0.2500 0.2500 0.2500
Br 0.2500 0.7500 0.7500
Br 0.7500 0.2500 0.7500
Br 0.7500 0.7500 0.2500


No. 2
Compound: IBr
Source: Alexandria via LeMat-Bulk
Functional: PBE
Structure: optimized geometry

spin magnetization: 0.000 μB per atom
ρ: 3.2 g cm⁻³
calculated total energy: -1.64 eV/atom
space group: I4/m
energy relative to the elements, uncorrected: -0.028 eV per atom

Cell lengths 13.3166, 13.3166, 4.8912 Å; angles 90.00, 90.00, 90.00 degrees
Atoms (fractional coordinates):
I 0.1167 0.1811 0.0000
I 0.1811 0.8833 0.0000
I 0.3189 0.6167 0.5000
I 0.3833 0.3189 0.5000
I 0.6167 0.6811 0.5000
I 0.6811 0.3833 0.5000
I 0.8189 0.1167 0.0000
I 0.8833 0.8189 0.0000
Br 0.0602 0.7158 0.0000
Br 0.2158 0.4398 0.5000
Br 0.2842 0.0602 0.0000
Br 0.4398 0.7842 0.5000
Br 0.5602 0.2158 0.5000
Br 0.7158 0.9398 0.0000
Br 0.7842 0.5602 0.5000
Br 0.9398 0.2842 0.0000


No. 3
Compound: IBr
Source: Alexandria via LeMat-Bulk
Functional: PBE
Structure: optimized geometry

spin magnetization: 0.000 μB per atom
ρ: 3.5 g cm⁻³
calculated total energy: -1.66 eV/atom
space group: Cmcm
energy relative to the elements, uncorrected: -0.048 eV per atom

Cell lengths 8.2468, 5.4027, 8.8281 Å; angles 90.00, 90.00, 90.00 degrees
Atoms (fractional coordinates):
I 0.0000 0.0000 0.0000
I 0.0000 0.0000 0.5000
I 0.5000 0.5000 0.0000
I 0.5000 0.5000 0.5000
Br 0.0000 0.2986 0.2500
Br 0.0000 0.7014 0.7500
Br 0.5000 0.2014 0.7500
Br 0.5000 0.7986 0.2500


No. 4
Compound: IBr3
Source: Alexandria via LeMat-Bulk
Functional: PBE
Structure: optimized geometry

spin magnetization: 0.000 μB per atom
ρ: 5.3 g cm⁻³
calculated total energy: -1.08 eV/atom
space group: Fm-3m
energy relative to the elements, uncorrected: 0.566 eV per atom

Cell lengths 7.6979, 7.6979, 7.6979 Å; angles 90.00, 90.00, 90.00 degrees
Atoms (fractional coordinates):
I 0.0000 0.0000 0.0000
I 0.0000 0.5000 0.5000
I 0.5000 0.0000 0.5000
I 0.5000 0.5000 0.0000
Br 0.0000 0.0000 0.5000
Br 0.0000 0.5000 0.0000
Br 0.2500 0.2500 0.2500
Br 0.2500 0.2500 0.7500
Br 0.2500 0.7500 0.2500
Br 0.2500 0.7500 0.7500
Br 0.5000 0.0000 0.0000
Br 0.5000 0.5000 0.5000
Br 0.7500 0.2500 0.2500
Br 0.7500 0.2500 0.7500
Br 0.7500 0.7500 0.2500
Br 0.7500 0.7500 0.7500


No. 5
Compound: IBr3
Source: Alexandria via LeMat-Bulk
Functional: PBE
Structure: optimized geometry

spin magnetization: 0.241 μB per atom
ρ: 3.8 g cm⁻³
calculated total energy: -1.21 eV/atom
space group: I-42d
energy relative to the elements, uncorrected: 0.427 eV per atom

Cell lengths 5.8642, 5.8642, 18.6944 Å; angles 90.00, 90.00, 90.00 degrees
Atoms (fractional coordinates):
I 0.0000 0.0000 0.0000
I 0.0000 0.5000 0.2500
I 0.5000 0.0000 0.7500
I 0.5000 0.5000 0.5000
Br 0.0000 0.0000 0.5000
Br 0.0000 0.5000 0.7500
Br 0.1583 0.2500 0.1250
Br 0.2500 0.6583 0.3750
Br 0.2500 0.8417 0.8750
Br 0.3417 0.2500 0.6250
Br 0.5000 0.0000 0.2500
Br 0.5000 0.5000 0.0000
Br 0.6583 0.7500 0.6250
Br 0.7500 0.1583 0.8750
Br 0.7500 0.3417 0.3750
Br 0.8417 0.7500 0.1250


No. 6
Compound: I2Br3
Source: Alexandria via LeMat-Bulk
Functional: PBE
Structure: optimized geometry

spin magnetization: 0.000 μB per atom
ρ: 3.4 g cm⁻³
calculated total energy: -1.62 eV/atom
space group: P-1
energy relative to the elements, uncorrected: 0.006 eV per atom

Cell lengths 4.8313, 5.6211, 9.2500 Å; angles 102.40, 96.69, 100.51 degrees
Atoms (fractional coordinates):
I 0.1942 0.3506 0.2130
I 0.8058 0.6494 0.7870
Br 0.2378 0.8443 0.1753
Br 0.5000 0.5000 0.5000
Br 0.7622 0.1557 0.8247


No. 7
Compound: I3Br5
Source: Alexandria via LeMat-Bulk
Functional: PBE
Structure: optimized geometry

spin magnetization: 0.000 μB per atom
ρ: 3.1 g cm⁻³
calculated total energy: -1.60 eV/atom
space group: P1
energy relative to the elements, uncorrected: 0.030 eV per atom

Cell lengths 4.4831, 12.7141, 15.9813 Å; angles 69.15, 87.04, 80.06 degrees
Atoms (fractional coordinates):
I 0.0000 0.0000 0.0000
I 0.0187 0.8880 0.5926
I 0.4749 0.4099 0.5649
I 0.6877 0.2817 0.2043
I 0.7109 0.5162 0.9026
I 0.9679 0.1153 0.8194
Br 0.0041 0.5726 0.5258
Br 0.0441 0.8677 0.2165
Br 0.0473 0.6394 0.9491
Br 0.3314 0.6750 0.2230
Br 0.3724 0.3919 0.8569
Br 0.3949 0.4553 0.2525
Br 0.4613 0.8550 0.4827
Br 0.5743 0.9227 0.7011
Br 0.9537 0.0643 0.2528
Br 0.9553 0.2390 0.6062


No. 8
Compound: IBr
Source: Alexandria via LeMat-Bulk
Functional: PBE
Structure: optimized geometry

spin magnetization: 0.000 μB per atom
ρ: 3.5 g cm⁻³
calculated total energy: -1.51 eV/atom
space group: P6_3mc
energy relative to the elements, uncorrected: 0.099 eV per atom

Cell lengths 4.6807, 4.6807, 10.2215 Å; angles 90.00, 90.00, 120.00 degrees
Atoms (fractional coordinates):
I 0.3333 0.6667 0.0000
I 0.6667 0.3333 0.5000
Br 0.3333 0.6667 0.7529
Br 0.6667 0.3333 0.2529


No. 9
Compound: I3Br2
Source: Alexandria via LeMat-Bulk
Functional: PBE
Structure: optimized geometry

spin magnetization: 0.000 μB per atom
ρ: 3.2 g cm⁻³
calculated total energy: -1.58 eV/atom
space group: P1
energy relative to the elements, uncorrected: 0.019 eV per atom

Cell lengths 8.2393, 8.7206, 8.7402 Å; angles 64.30, 84.69, 84.70 degrees
Atoms (fractional coordinates):
I 0.0000 0.0000 0.0000
I 0.1524 0.4932 0.8597
I 0.3123 0.0429 0.3767
I 0.4721 0.5611 0.9248
I 0.6246 0.4198 0.4195
I 0.8124 0.6118 0.8068
Br 0.2820 0.8623 0.1936
Br 0.3426 0.2256 0.5574
Br 0.7398 0.1058 0.8291
Br 0.8852 0.5907 0.3139


No. 10
Compound: IBr3
Source: Alexandria via LeMat-Bulk
Functional: PBE
Structure: optimized geometry

spin magnetization: 0.000 μB per atom
ρ: 3.1 g cm⁻³
calculated total energy: -1.59 eV/atom
space group: P2_1/m
energy relative to the elements, uncorrected: 0.049 eV per atom

Cell lengths 5.1629, 8.4538, 9.2341 Å; angles 90.00, 101.62, 90.00 degrees
Atoms (fractional coordinates):
I 0.2022 0.2500 0.0681
I 0.7978 0.7500 0.9319
Br 0.2260 0.2500 0.5699
Br 0.2650 0.7500 0.8429
Br 0.3035 0.7500 0.3483
Br 0.6965 0.2500 0.6517
Br 0.7350 0.2500 0.1571
Br 0.7740 0.7500 0.4301


No. 11
Compound: IBr3
Source: Alexandria via LeMat-Bulk
Functional: PBE
Structure: optimized geometry

spin magnetization: 0.234 μB per atom
ρ: 4.1 g cm⁻³
calculated total energy: -1.37 eV/atom
space group: R-3m
energy relative to the elements, uncorrected: 0.270 eV per atom

Cell lengths 3.7307, 3.7307, 36.9923 Å; angles 90.00, 90.00, 120.00 degrees
Atoms (fractional coordinates):
I 0.0000 0.0000 0.0000
I 0.3333 0.6667 0.6667
I 0.6667 0.3333 0.3333
Br 0.0000 0.0000 0.0709
Br 0.0000 0.0000 0.5000
Br 0.0000 0.0000 0.9291
Br 0.3333 0.6667 0.1667
Br 0.3333 0.6667 0.5958
Br 0.3333 0.6667 0.7376
Br 0.6667 0.3333 0.2624
Br 0.6667 0.3333 0.4042
Br 0.6667 0.3333 0.8333


No. 12
Compound: IBr3
Source: Alexandria via LeMat-Bulk
Functional: PBE
Structure: optimized geometry

spin magnetization: 0.000 μB per atom
ρ: 4.2 g cm⁻³
calculated total energy: -1.50 eV/atom
space group: Immm
energy relative to the elements, uncorrected: 0.142 eV per atom

Cell lengths 4.0620, 8.2369, 8.7283 Å; angles 90.00, 90.00, 90.00 degrees
Atoms (fractional coordinates):
I 0.0000 0.0000 0.0000
I 0.5000 0.5000 0.5000
Br 0.0000 0.0000 0.5000
Br 0.0000 0.5000 0.2654
Br 0.0000 0.5000 0.7346
Br 0.5000 0.0000 0.2346
Br 0.5000 0.0000 0.7654
Br 0.5000 0.5000 0.0000


No. 13
Compound: I2Br3
Source: Alexandria via LeMat-Bulk
Functional: PBE
Structure: optimized geometry

spin magnetization: 0.000 μB per atom
ρ: 2.5 g cm⁻³
calculated total energy: -1.58 eV/atom
space group: R-3m
energy relative to the elements, uncorrected: 0.048 eV per atom

Cell lengths 9.7300, 9.7300, 11.8669 Å; angles 90.00, 90.00, 120.00 degrees
Atoms (fractional coordinates):
I 0.0000 0.0000 0.1791
I 0.0000 0.0000 0.8209
I 0.3333 0.6667 0.4875
I 0.3333 0.6667 0.8458
I 0.6667 0.3333 0.1542
I 0.6667 0.3333 0.5125
Br 0.0000 0.5000 0.5000
Br 0.1667 0.3333 0.8333
Br 0.1667 0.8333 0.8333
Br 0.3333 0.1667 0.1667
Br 0.5000 0.0000 0.5000
Br 0.5000 0.5000 0.5000
Br 0.6667 0.8333 0.8333
Br 0.8333 0.1667 0.1667
Br 0.8333 0.6667 0.1667


No. 14
Compound: IBr
Source: Alexandria via LeMat-Bulk
Functional: PBE
Structure: optimized geometry

spin magnetization: 0.000 μB per atom
ρ: 2.8 g cm⁻³
calculated total energy: -1.54 eV/atom
space group: P6_3/m
energy relative to the elements, uncorrected: 0.072 eV per atom

Cell lengths 13.3124, 13.3124, 4.7263 Å; angles 90.00, 90.00, 120.00 degrees
Atoms (fractional coordinates):
I 0.1066 0.6924 0.2500
I 0.3076 0.4142 0.2500
I 0.4142 0.1066 0.7500
I 0.5858 0.8934 0.2500
I 0.6924 0.5858 0.7500
I 0.8934 0.3076 0.7500
Br 0.1756 0.5072 0.2500
Br 0.3316 0.8244 0.2500
Br 0.4928 0.6684 0.2500
Br 0.5072 0.3316 0.7500
Br 0.6684 0.1756 0.7500
Br 0.8244 0.4928 0.7500


No. 15
Compound: IBr
Source: Alexandria via LeMat-Bulk
Functional: PBE
Structure: optimized geometry

spin magnetization: 0.000 μB per atom
ρ: 3.4 g cm⁻³
calculated total energy: -1.63 eV/atom
space group: Pnma
energy relative to the elements, uncorrected: -0.022 eV per atom

Cell lengths 8.7772, 8.7936, 10.5400 Å; angles 90.00, 90.00, 90.00 degrees
Atoms (fractional coordinates):
I 0.1223 0.2500 0.2495
I 0.1316 0.7500 0.4091
I 0.3684 0.2500 0.9091
I 0.3777 0.7500 0.7495
I 0.6223 0.2500 0.2505
I 0.6316 0.7500 0.0909
I 0.8684 0.2500 0.5909
I 0.8777 0.7500 0.7505
Br 0.1178 0.2500 0.7494
Br 0.1281 0.7500 0.9046
Br 0.3719 0.2500 0.4046
Br 0.3822 0.7500 0.2494
Br 0.6178 0.2500 0.7506
Br 0.6281 0.7500 0.5954
Br 0.8719 0.2500 0.0954
Br 0.8822 0.7500 0.2506


No. 16
Compound: In3IBr2
Source: Alexandria via LeMat-Bulk
Functional: PBE
Structure: optimized geometry

spin magnetization: 0.000 μB per atom
ρ: 4.2 g cm⁻³
calculated total energy: -2.75 eV/atom
space group: Fmm2
energy relative to the elements, uncorrected: -0.563 eV per atom

Cell lengths 10.6070, 4.9928, 10.6070 Å; angles 76.39, 27.23, 76.39 degrees
Atoms (fractional coordinates):
In 0.0000 0.0000 0.0000
In 0.3285 0.6733 0.3267
In 0.6733 0.3285 0.6715
I 0.5000 0.5000 0.5000
Br 0.1667 0.8344 0.1656
Br 0.8344 0.1667 0.8333


No. 17
Compound: InIBr2
Source: Alexandria via LeMat-Bulk
Functional: PBE
Structure: optimized geometry

spin magnetization: 0.000 μB per atom
ρ: 4.2 g cm⁻³
calculated total energy: -2.61 eV/atom
space group: C2
energy relative to the elements, uncorrected: -0.700 eV per atom

Cell lengths 7.1595, 12.1894, 7.5766 Å; angles 90.00, 107.03, 90.00 degrees
Atoms (fractional coordinates):
In 0.0000 0.0000 0.0000
In 0.0000 0.3318 0.0000
In 0.5000 0.5000 0.0000
In 0.5000 0.8318 0.0000
I 0.2490 0.9933 0.7568
I 0.2510 0.4933 0.2432
I 0.7490 0.4933 0.7568
I 0.7510 0.9933 0.2432
Br 0.2074 0.1674 0.2152
Br 0.2457 0.8457 0.2116
Br 0.2543 0.3457 0.7884
Br 0.2926 0.6674 0.7849
Br 0.7074 0.6674 0.2152
Br 0.7457 0.3457 0.2116
Br 0.7543 0.8457 0.7884
Br 0.7926 0.1674 0.7849


No. 18
Compound: In2I2Br
Source: Alexandria via LeMat-Bulk
Functional: PBE
Structure: optimized geometry

spin magnetization: 0.000 μB per atom
ρ: 4.1 g cm⁻³
calculated total energy: -2.59 eV/atom
space group: P1
energy relative to the elements, uncorrected: -0.540 eV per atom

Cell lengths 5.3364, 8.9352, 10.0576 Å; angles 99.76, 104.51, 91.12 degrees
Atoms (fractional coordinates):
In 0.0000 0.0000 0.0000
In 0.0602 0.9397 0.5764
In 0.6531 0.4926 0.7286
In 0.9392 0.4932 0.2943
I 0.0559 0.3201 0.5579
I 0.3297 0.2566 0.1218
I 0.5048 0.6887 0.4645
I 0.8112 0.8800 0.1916
Br 0.1766 0.7742 0.8596
Br 0.6717 0.0915 0.7973


No. 19
Compound: InIBr
Source: Alexandria via LeMat-Bulk
Functional: PBE
Structure: optimized geometry

spin magnetization: 0.000 μB per atom
ρ: 3.9 g cm⁻³
calculated total energy: -2.62 eV/atom
space group: C2
energy relative to the elements, uncorrected: -0.630 eV per atom

Cell lengths 11.6182, 8.0326, 7.2697 Å; angles 90.00, 127.09, 90.00 degrees
Atoms (fractional coordinates):
In 0.0000 0.0000 0.0000
In 0.0000 0.4389 0.5000
In 0.5000 0.5000 0.0000
In 0.5000 0.9389 0.5000
I 0.1698 0.6277 0.8921
I 0.3302 0.1277 0.1079
I 0.6698 0.1277 0.8921
I 0.8302 0.6277 0.1079
Br 0.1609 0.2530 0.4534
Br 0.3391 0.7530 0.5466
Br 0.6609 0.7530 0.4534
Br 0.8391 0.2530 0.5466


No. 20
Compound: InIBr
Source: Alexandria via LeMat-Bulk
Functional: PBE
Structure: optimized geometry

spin magnetization: 0.000 μB per atom
ρ: 3.6 g cm⁻³
calculated total energy: -2.57 eV/atom
space group: P-1
energy relative to the elements, uncorrected: -0.581 eV per atom

Cell lengths 4.3659, 7.3689, 9.4359 Å; angles 86.91, 76.68, 89.99 degrees
Atoms (fractional coordinates):
In 0.0742 0.4637 0.3514
In 0.9258 0.5363 0.6486
I 0.3517 0.3420 0.7980
I 0.6483 0.6580 0.2020
Br 0.1217 0.1516 0.2555
Br 0.8783 0.8484 0.7445